(1)
First-principles (PBE) data for a relaxed structure of SbPAu, as listed in Alexandria via LeMat-Bulk.

Computed properties:
The value obtained for the density of states at the Fermi level is 1.251 states/eV/f.u. Its crystal system is orthorhombic. As for the uncorrected formation energy: 380 meV/atom. The value obtained for the total magnetization is 0.00 μB/atom.

Cell: 3.7898 5.7207 11.7673 Å, 90.00 90.00 90.00°
Space group Fmm2 (No. 42)
Inequivalent atoms, fractional coordinates:
Sb  0.0000  0.0000  0.0000 x4
P  0.0000  0.0000  0.3169 x4
Au  0.0000  0.0000  0.6791 x4

(2)
First-principles (PBE) data for a relaxed structure of RhC3Se, as listed in Alexandria via LeMat-Bulk.

Computed properties:
The value obtained for the density of states at the Fermi level is 3.004 states/eV/f.u. Its crystal system is cubic. As for the uncorrected formation energy: 2856 meV/atom. The value obtained for the total magnetization is 0.00 μB/atom.

Cell: 3.8366 3.8366 3.8366 Å, 90.00 90.00 90.00°
Space group Pm-3m (No. 221)
Inequivalent atoms, fractional coordinates:
Rh  0.0000  0.0000  0.0000 x1
C  0.0000  0.5000  0.5000 x3
Se  0.5000  0.5000  0.5000 x1

(3)
First-principles (PBE) data for a relaxed structure of Zn2InFe, as listed in Alexandria via LeMat-Bulk.

Computed properties:
The value obtained for the density of states at the Fermi level is 1.848 states/eV/f.u. Its calculated formation energy is 0.227 eV/atom. Its crystal system is orthorhombic. The value obtained for the total magnetization is 0.58 μB/atom.

Cell: 5.4631 7.9738 2.9646 Å, 90.00 90.00 90.00°
Space group Cmmm (No. 65)
Inequivalent atoms, fractional coordinates:
Zn  0.2500  0.2500  0.0000 x4
In  0.0000  0.0000  0.5000 x2
Fe  0.0000  0.5000  0.5000 x2

(4)
First-principles (PBE) data for a relaxed structure of SrAcGaPt, as listed in Alexandria via LeMat-Bulk.

Computed properties:
The value obtained for the density of states at the Fermi level is 3.251 states/eV/f.u. Its calculated formation energy is -0.604 eV/atom. Its crystal system is cubic. The value obtained for the total magnetization is 0.00 μB/atom.

Cell: 7.6293 7.6293 7.6293 Å, 90.00 90.00 90.00°
Space group F-43m (No. 216)
Inequivalent atoms, fractional coordinates:
Sr  0.0000  0.0000  0.0000 x4
Ac  0.0000  0.0000  0.5000 x4
Ga  0.2500  0.2500  0.7500 x4
Pt  0.2500  0.2500  0.2500 x4

(5)
First-principles (PBE) data for a relaxed structure of CaTlCu2, as listed in Alexandria via LeMat-Bulk.

Computed properties:
The value obtained for the density of states at the Fermi level is 1.747 states/eV/f.u. Its calculated formation energy is 0.019 eV/atom. Its crystal system is orthorhombic. The value obtained for the total magnetization is 0.00 μB/atom.

Cell: 3.7628 4.9181 8.8921 Å, 90.00 90.00 90.00°
Space group Imm2 (No. 44)
Inequivalent atoms, fractional coordinates:
Ca  0.0000  0.0000  0.0000 x2
Tl  0.0000  0.5000  0.7868 x2
Cu  0.0000  0.0000  0.5380 x2
Cu  0.0000  0.5000  0.2163 x2

(6)
First-principles (PBE) data for a relaxed structure of Hf3VS, as listed in Alexandria via LeMat-Bulk.

Computed properties:
The value obtained for the density of states at the Fermi level is 2.741 states/eV/f.u. Its crystal system is monoclinic. As for the uncorrected formation energy: -436 meV/atom. The value obtained for the total magnetization is 0.00 μB/atom.

Cell: 9.7673 7.8761 6.3237 Å, 90.00 129.05 90.00°
Space group C2/m (No. 12)
Inequivalent atoms, fractional coordinates:
Hf  0.0478  0.0000  0.2847 x4
Hf  0.2135  0.3009  0.2025 x8
V  0.0704  0.5000  0.3831 x4
S  0.2285  0.5000  0.8716 x4

(7)
First-principles (PBE) data for a relaxed structure of Pm6Sm3Tm, as listed in Alexandria via LeMat-Bulk.

Computed properties:
The value obtained for the density of states at the Fermi level is 13.034 states/eV/f.u. Its calculated formation energy is 0.139 eV/atom. Its crystal system is orthorhombic. The value obtained for the total magnetization is 0.00 μB/atom.

Cell: 10.9609 19.2627 6.4530 Å, 90.00 90.00 90.00°
Space group Cmc2_1 (No. 36)
Inequivalent atoms, fractional coordinates:
Pm  0.0000  0.0357  0.0000 x4
Pm  0.0000  0.2770  0.7808 x4
Pm  0.1697  0.4570  0.6839 x8
Pm  0.2328  0.2905  0.4928 x8
Sm  0.0000  0.3856  0.2080 x4
Sm  0.1723  0.1155  0.5932 x8
Tm  0.0000  0.1931  0.2444 x4

(8)
First-principles (PBE) data for a relaxed structure of Nd8Er2Cd, as listed in Alexandria via LeMat-Bulk.

Computed properties:
The value obtained for the density of states at the Fermi level is 16.423 states/eV/f.u. Its calculated formation energy is 0.040 eV/atom. Its crystal system is monoclinic. The value obtained for the total magnetization is 0.00 μB/atom.

Cell: 17.7447 5.5597 8.2083 Å, 90.00 113.62 90.00°
Space group C2/m (No. 12)
Inequivalent atoms, fractional coordinates:
Nd  0.0146  0.0000  0.2449 x4
Nd  0.1103  0.5000  0.9319 x4
Nd  0.1651  0.5000  0.4086 x4
Nd  0.1730  0.0000  0.7160 x4
Er  0.1951  0.0000  0.1547 x4
Cd  0.0000  0.5000  0.5000 x2

(9)
First-principles (PBE) data for a relaxed structure of CuCl2, as listed in Alexandria via LeMat-Bulk.

Computed properties:
The value obtained for the density of states at the Fermi level is 0.839 states/eV/f.u. Its crystal system is monoclinic. As for the uncorrected formation energy: -495 meV/atom. The value obtained for the total magnetization is 0.30 μB/atom.

Cell: 13.5717 3.3071 9.4830 Å, 90.00 129.72 90.00°
Space group C2/m (No. 12)
Inequivalent atoms, fractional coordinates:
Cu  0.2061  0.0000  0.2677 x4
Cl  0.0957  0.5000  0.2799 x4
Cl  0.1909  0.0000  0.7554 x4

(10)
First-principles (PBE) data for a relaxed structure of Ho7Pd2Au2, as listed in Alexandria via LeMat-Bulk.

Computed properties:
The value obtained for the density of states at the Fermi level is 14.406 states/eV/f.u. Its calculated formation energy is -0.646 eV/atom. Its crystal system is orthorhombic. The value obtained for the total magnetization is 0.00 μB/atom.

Cell: 3.7754 15.6578 9.6139 Å, 90.00 90.00 90.00°
Space group Imm2 (No. 44)
Inequivalent atoms, fractional coordinates:
Ho  0.0000  0.0000  0.0000 x2
Ho  0.0000  0.1164  0.4020 x4
Ho  0.0000  0.3115  0.6095 x4
Ho  0.0000  0.3698  0.2481 x4
Pd  0.0000  0.2401  0.9064 x4
Au  0.0000  0.0000  0.6502 x2
Au  0.0000  0.5000  0.7412 x2

(11)
First-principles (PBE) data for a relaxed structure of TeF3, as listed in Alexandria via LeMat-Bulk.

Computed properties:
The value obtained for the density of states at the Fermi level is 1.532 states/eV/f.u. Its crystal system is trigonal. As for the uncorrected formation energy: -723 meV/atom. The value obtained for the total magnetization is 0.23 μB/atom.

Cell: 3.3605 3.3605 24.3403 Å, 90.00 90.00 120.00°
Space group R-3m (No. 166, hexagonal axes)
Inequivalent atoms, fractional coordinates:
Te  0.0000  0.0000  0.0000 x3
F  0.0000  0.0000  0.0808 x6
F  0.0000  0.0000  0.5000 x3

(12)
First-principles (PBE) data for a relaxed structure of SrLiRu, as listed in Alexandria via LeMat-Bulk.

Computed properties:
The value obtained for the density of states at the Fermi level is 3.807 states/eV/f.u. Its calculated formation energy is 0.488 eV/atom. Its crystal system is tetragonal. The value obtained for the total magnetization is 0.07 μB/atom.

Cell: 3.4693 3.4693 10.4387 Å, 90.00 90.00 90.00°
Space group I4mm (No. 107)
Inequivalent atoms, fractional coordinates:
Sr  0.0000  0.0000  0.0000 x2
Li  0.0000  0.0000  0.7180 x2
Ru  0.0000  0.0000  0.3098 x2